## Er2FeF8 (PBE with a Hubbard U)

Data for a relaxed Er2FeF8 crystal.

Values from the calculation:
As for the raw total energy: -6.326 eV/atom.

abc: 14.793 3.540 5.337
angles: 90.00 109.30 90.00
Space group C2/m (No. 12)
Inequivalent atoms, fractional coordinates:
Er  0.176  0.000  0.185
Fe  0.000  0.500  0.500
F  0.046  0.000  0.338
F  0.094  0.500  0.934
F  0.181  0.500  0.461
F  0.221  0.000  0.830